# Pa3Zn2Au4

Crystalline Pa3Zn2Au4 at its relaxed geometry (PBE-GGA, the Alexandria database).

Values from the calculation:
The value obtained for the total magnetization is 2.9 μB/f.u. As for the energy of formation from the pure elements: -0.400 eV/atom.

Unit cell a=10.4160 b=4.7214 c=8.7793 alpha=90.00 beta=120.67 gamma=90.00
Space group C2/m (No. 12)
Symmetry-distinct sites (fractional):
Pa1 0.0000 0.0000 0.0000
Pa2 0.1632 0.5000 0.6700
Zn1 0.1170 0.5000 0.2860
Au1 0.0653 0.0000 0.3904
Au2 0.2136 0.5000 0.0584


# ThHCO5

Crystalline ThHCO5 at its relaxed geometry (PBE-GGA, the Alexandria database).

Values from the calculation:
The value obtained for the total magnetization is 1.0 μB/f.u. The final energy is -7.269 eV per atom.

Unit cell a=6.5472 b=9.0392 c=5.7919 alpha=90.00 beta=102.46 gamma=90.00
Space group C2/c (No. 15)
Symmetry-distinct sites (fractional):
Th1 0.0000 0.1761 0.2500
H1 0.0000 0.5000 0.0000
C1 0.0000 0.1711 0.7500
O1 0.0000 0.4575 0.2500
O2 0.1261 0.2572 0.6396
O3 0.1312 0.0811 0.9174


# Sc4AsC2

Crystalline Sc4AsC2 at its relaxed geometry (PBE-GGA, the Alexandria database).

Values from the calculation:
The value obtained for the total magnetization is 0.9 μB/f.u. As for the energy of formation from the pure elements: -0.775 eV/atom.

Unit cell a=3.5092 b=11.1826 c=11.5826 alpha=90.00 beta=90.00 gamma=90.00
Space group Cmcm (No. 63)
Symmetry-distinct sites (fractional):
Sc1 0.0000 0.0000 0.0000
Sc2 0.0000 0.2628 0.1055
Sc3 0.0000 0.4313 0.7500
As1 0.0000 0.1123 0.7500
C1 0.0000 0.3657 0.5604


# Hg2PtW

Crystalline Hg2PtW at its relaxed geometry (PBE-GGA, the Alexandria database).

Values from the calculation:
The value obtained for the total magnetization is 0.0 μB/f.u. For the energy above the most stable polymorph in this dataset, the calculation gives 0.770 eV/atom. As for the energy of formation from the pure elements: 0.976 eV/atom.

Unit cell a=7.6433 b=7.6433 c=5.5121 alpha=90.00 beta=90.00 gamma=90.00
Space group I-42d (No. 122)
Symmetry-distinct sites (fractional):
Hg1 0.2472 0.7500 0.1250
Pt1 0.0000 0.0000 0.0000
W1 0.0000 0.0000 0.5000


# YBP

Crystalline YBP at its relaxed geometry (PBE-GGA, the Alexandria database).

Values from the calculation:
The value obtained for the total magnetization is 0.0 μB/f.u. As for the energy of formation from the pure elements: -0.299 eV/atom.

Unit cell a=5.6205 b=5.9221 c=6.3210 alpha=90.00 beta=90.00 gamma=90.00
Space group Cmcm (No. 63)
Symmetry-distinct sites (fractional):
Y1 0.0000 0.1705 0.2500
B1 0.0000 0.5000 0.0000
P1 0.0000 0.3258 0.7500


# CdIn2Au

Crystalline CdIn2Au at its relaxed geometry (PBE-GGA, the Alexandria database).

Values from the calculation:
The value obtained for the total magnetization is 0.0 μB/f.u. As for the energy of formation from the pure elements: -0.025 eV/atom.

Unit cell a=4.3655 b=4.4041 c=4.7801 alpha=90.00 beta=90.00 gamma=90.00
Space group Pmmm (No. 47)
Symmetry-distinct sites (fractional):
Cd1 0.0000 0.0000 0.0000
In1 0.5000 0.0000 0.5000
In2 0.5000 0.5000 0.0000
Au1 0.0000 0.5000 0.5000